# Y2ErCo | Alexandria via LeMat-Bulk | PBE | optimized geometry
# VASP energy: -5.94 eV per atom
# Polymorph energy (0 for the lowest one): 1.462 eV/f.u.
# Total magnetic moment: 0.944 μB per cell
# Energy relative to the elements: 0.8 eV/f.u.
data_Y2ErCo
_cell_length_a 3.5683
_cell_length_b 3.5683
_cell_length_c 30.9343
_cell_angle_alpha 90.00
_cell_angle_beta 90.00
_cell_angle_gamma 120.00
_space_group_name_H-M_alt 'R -3 m'
_space_group_IT_number 166
_space_group_name_Hall '-R 3 2"'
loop_
_atom_site_label
_atom_site_type_symbol
_atom_site_fract_x
_atom_site_fract_y
_atom_site_fract_z
Y1 Y 0.0000 0.0000 0.1124
Er1 Er 0.0000 0.0000 0.0000
Co1 Co 0.0000 0.0000 0.5000